1.
PBE-GGA Sm2Er4S9, relaxed; size of the total moment = 0.00 Bohr magnetons per cell; formation energy without anion corrections = -2.050 eV/atom; energy = -6.372 eV per atom
1.0
6.9248 0.0008 0.0145
3.4617 5.9969 0.0379
-0.0396 -0.0930 18.5233
Er Sm S
8 4 18
direct
0.3333 0.3334 0.4847
0.6667 0.6666 0.5153
0.3334 0.3333 0.9847
0.6670 0.6667 0.8159
0.6666 0.6667 0.0153
0.6664 0.6666 0.3159
0.3336 0.3334 0.6841
0.3330 0.3333 0.1841
0.0003 0.0000 0.6469
0.0002 0.0001 0.8532
0.9998 0.9999 0.1468
0.9997 0.0000 0.3531
0.6534 0.9702 0.4164
0.6934 0.3064 0.2500
0.6538 0.3762 0.9165
0.3462 0.6238 0.0835
0.0299 0.6239 0.5836
0.9997 0.6936 0.2500
0.9701 0.3761 0.4164
0.3066 0.6936 0.7500
0.9702 0.6539 0.9165
0.0003 0.3064 0.7500
0.3466 0.0298 0.5836
0.6240 0.3462 0.5835
0.6236 0.0298 0.0836
0.0298 0.3461 0.0835
0.3760 0.6538 0.4165
0.3764 0.9702 0.9164
0.3061 0.9999 0.2500
0.6939 0.0001 0.7500

2.
PBE-GGA Sm3ErS4, relaxed; E above lowest polymorph = 0.00 eV per formula unit; size of the total moment = 0.00 Bohr magnetons per cell; formation energy without anion corrections = -2.008 eV/atom; energy = -6.412 eV per atom
1.0
-3.4841 -3.6873 -4.6607
-2.7972 -0.9756 6.2584
-4.8420 6.1074 -1.2121
S Sm Er
8 6 2
direct
0.4997 0.7595 0.1200
0.9997 0.7595 0.8800
0.5003 0.2405 0.8800
0.0051 0.7550 0.3697
0.9949 0.2450 0.6303
0.0003 0.2405 0.1200
0.4949 0.2450 0.3697
0.5051 0.7550 0.6303
0.2500 0.5000 0.8736
0.2500 0.0000 0.6238
0.2500 0.5000 0.3769
0.7500 0.5000 0.6231
0.7500 0.0000 0.3762
0.7500 0.5000 0.1264
0.2500 0.0000 0.1264
0.7500 0.0000 0.8736

3.
PBE-GGA Sm4ErS4, relaxed; size of the total moment = 0.00 Bohr magnetons per cell; formation energy without anion corrections = -1.765 eV/atom; energy = -6.204 eV per atom
1.0
-2.9556 -0.7812 -4.7502
-5.2465 -4.3403 0.6107
-5.2156 4.3431 -0.8323
Sm S Er
4 4 1
direct
0.3999 0.4011 0.7990
0.8011 0.7988 0.5988
0.6001 0.5989 0.2010
0.1989 0.2012 0.4012
0.9028 0.3923 0.8021
0.0972 0.6077 0.1979
0.2952 0.8019 0.6079
0.7048 0.1981 0.3921
0.0000 0.0000 0.0000